(1)
The following is a DFT calculation (GGA-PBE) of a geometry-optimized Fe3Br5 structure.

a b c (Å): 7.5411 7.5411 3.5378
angles (deg): 90.00 90.00 114.46
Last column: nearest neighbours and their distance in Å.
Positions (direct):
Fe: 0.0000 0.0000 0.0000  4 Br 2.43, 4 Fe 2.69
Fe: 0.1597 0.8403 0.5000  6 Br 2.62-2.93, 2 Fe 2.69
Fe: 0.8403 0.1597 0.5000  6 Br 2.62-2.93, 2 Fe 2.69
Br: 0.0000 0.5000 0.0000  4 Fe 2.93
Br: 0.2038 0.2038 0.5000  4 Fe 2.43-2.62
Br: 0.5000 0.0000 0.0000  4 Fe 2.93
Br: 0.5000 0.5000 0.0000  4 Br 3.00
Br: 0.7962 0.7962 0.5000  4 Fe 2.43-2.62

space group	No. 65
formation energy without anion corrections	0.14	eV/atom



(2)
The following is a DFT calculation (GGA-PBE) of a geometry-optimized Ti2TcPt structure.

a b c (Å): 3.1651 3.1651 6.1323
angles (deg): 90.00 90.00 90.00
Last column: nearest neighbours and their distance in Å.
Positions (direct):
Ti: 0.0000 0.0000 0.2386  4 Tc 2.67, 4 Pt 2.75, 1 Ti 2.93
Ti: 0.0000 0.0000 0.7614  4 Tc 2.67, 4 Pt 2.75, 1 Ti 2.93
Tc: 0.5000 0.5000 0.0000  8 Ti 2.67
Pt: 0.5000 0.5000 0.5000  8 Ti 2.75, 2 Tc 3.07

space group	No. 123
energy above the lowest structure with this stoichiometry	0	meV per atom
formation energy	-0.787	eV per atom



(3)
The following is a DFT calculation (GGA-PBE) of a geometry-optimized Ho4Tl2Ag structure.

a b c (Å): 9.0137 9.0137 9.0137
angles (deg): 33.58 33.58 33.58
Last column: nearest neighbours and their distance in Å.
Positions (direct):
Ho: 0.1249 0.1249 0.1249  4 Tl 3.12-3.17, 1 Ag 3.18
Ho: 0.3755 0.3755 0.3755  3 Ag 3.19, 4 Tl 3.21-3.27
Ho: 0.6245 0.6245 0.6245  3 Ag 3.19, 4 Tl 3.21-3.27
Ho: 0.8751 0.8751 0.8751  4 Tl 3.12-3.17, 1 Ag 3.18
Tl: 0.2473 0.2473 0.2473  8 Ho 3.12-3.27
Tl: 0.7527 0.7527 0.7527  8 Ho 3.12-3.27
Ag: 0.0000 0.0000 0.0000  8 Ho 3.18-3.19

space group	No. 166
energy above the lowest structure with this stoichiometry	0	meV per atom
formation energy	-0.205	eV per atom



| no. | magnetic moment (Bohr magnetons per cell) |
| --- | --- |
| 1 | 9.25 |
| 2 | 0.00 |
| 3 | 0.00 |